Record 1
Material: La6HoEr
Method: DFT, PBE-GGA
State: relaxed Values from VASP.

Calculated values
magnetic moment	0.0	μB/cell
ΔE_f	5	kJ/mol of formula units
symmetry	No. 123
raw total energy	-4.83	eV/atom

Quantum ESPRESSO input file:
```
&SYSTEM
  ibrav = 0, nat = 8, ntyp = 3
/
ATOMIC_SPECIES
La 138.91 La.upf
Ho 164.93 Ho.upf
Er 167.26 Er.upf
CELL_PARAMETERS angstrom
5.1955 0.0000 0.0000
0.0000 5.1955 0.0000
0.0000 0.0000 10.3878
ATOMIC_POSITIONS angstrom
La 2.5978 0.0000 2.5985
La 2.5978 0.0000 7.7892
Ho 0.0000 0.0000 0.0000
La 2.5978 2.5978 5.1939
Er 0.0000 0.0000 5.1939
La 0.0000 2.5978 2.5985
La 2.5978 2.5978 0.0000
La 0.0000 2.5978 7.7892
```

***

Record 2
Material: La12Ho7Er
Method: DFT, PBE-GGA
State: relaxed Values from VASP.

Calculated values
polymorph energy (0 for the lowest one)	5	meV per atom
magnetic moment	0.0	μB/cell
ΔE_f	377	kJ/mol of formula units
symmetry	No. 148
raw total energy	-4.59	eV/atom

Quantum ESPRESSO input file:
```
&SYSTEM
  ibrav = 0, nat = 20, ntyp = 3
/
ATOMIC_SPECIES
La 138.91 La.upf
Ho 164.93 Ho.upf
Er 167.26 Er.upf
CELL_PARAMETERS angstrom
-2.5010 2.0158 8.2530
-7.6626 -4.2700 -1.2176
3.6366 -7.4990 2.9952
ATOMIC_POSITIONS angstrom
La -5.6497 -6.7555 3.7480
La 0.8534 -5.5483 4.3525
Ho -3.2635 -4.8766 5.0153
La -3.4736 -0.8116 6.1426
Ho -0.8764 -0.5509 3.4434
La -0.8772 -2.9977 6.2827
La -7.3804 -4.2050 5.6781
La -4.9547 -4.9593 1.1459
La -4.6913 -3.4310 7.6042
Ho -5.6505 -9.2023 6.5872
Ho -6.6646 -6.4600 8.5938
Ho -3.5167 -7.9952 9.1494
La -1.8357 -6.3222 2.4265
La -3.0533 -8.9416 3.8880
Ho -3.0103 -1.7580 0.8812
Er 0.0000 0.0000 0.0000
La -1.5722 -4.7940 8.8847
Ho 0.1377 -3.2932 1.4368
La -5.3368 -2.7088 3.6618
La -1.1901 -7.0444 6.3689
```